[1]
Below is crystalline BaTa2 at its relaxed geometry, with properties calculated at the GGA-PBE level.

abc: 8.670 8.670 8.670
angles: 160.12 160.12 28.26
Positions (direct):
Ba (0.000, 0.000, 0.000)
Ta (0.312, 0.312, 0.000)
Ta (0.688, 0.688, 0.000)

Computed properties:
raw total energy: -7.594 eV/atom
excess energy over the best structure of this formula in the dataset: 403.4 meV per atom
V: 75 Å³ per cell

[2]
Below is crystalline PrH8PdPt2 at its relaxed geometry, with properties calculated at the GGA-PBE level.

abc: 6.347 6.347 6.347
angles: 44.65 44.65 44.65
Positions (direct):
Pr (0.000, 0.000, 0.000)
H (0.139, 0.767, 0.424)
H (0.233, 0.576, 0.861)
H (0.325, 0.325, 0.325)
H (0.424, 0.139, 0.767)
H (0.576, 0.861, 0.233)
H (0.675, 0.675, 0.675)
H (0.767, 0.424, 0.139)
H (0.861, 0.233, 0.576)
Pd (0.500, 0.500, 0.500)
Pt (0.231, 0.231, 0.231)
Pt (0.769, 0.769, 0.769)

Computed properties:
raw total energy: -4.270 eV/atom
V: 115 Å³ per cell

[3]
Below is crystalline ThAgF6 at its relaxed geometry, with properties calculated at the GGA-PBE level.

abc: 5.453 5.453 8.144
angles: 90.00 90.00 90.00
Positions (direct):
Th (0.000, 0.000, 0.250)
Th (0.000, 0.000, 0.750)
Ag (0.500, 0.500, 0.000)
Ag (0.500, 0.500, 0.500)
F (0.151, 0.817, 0.000)
F (0.183, 0.151, 0.500)
F (0.261, 0.695, 0.331)
F (0.261, 0.695, 0.669)
F (0.305, 0.261, 0.169)
F (0.305, 0.261, 0.831)
F (0.695, 0.739, 0.169)
F (0.695, 0.739, 0.831)
F (0.739, 0.305, 0.331)
F (0.739, 0.305, 0.669)
F (0.817, 0.849, 0.500)
F (0.849, 0.183, 0.000)

Computed properties:
formation energy without anion corrections: -2962.0 meV/atom
raw total energy: -5.649 eV/atom
V: 242 Å³ per cell

[4]
Below is crystalline La5DySn4 at its relaxed geometry, with properties calculated at the GGA-PBE level.

abc: 10.195 10.553 7.774
angles: 90.00 90.00 90.00
Positions (direct):
La (0.006, 0.049, 0.246)
La (0.006, 0.451, 0.246)
La (0.250, 0.250, 0.708)
La (0.494, 0.049, 0.246)
La (0.494, 0.451, 0.246)
La (0.506, 0.549, 0.754)
La (0.506, 0.951, 0.754)
La (0.750, 0.750, 0.292)
La (0.994, 0.549, 0.754)
La (0.994, 0.951, 0.754)
Dy (0.250, 0.750, 0.289)
Dy (0.750, 0.250, 0.711)
Sn (0.007, 0.750, 0.062)
Sn (0.250, 0.508, 0.503)
Sn (0.250, 0.992, 0.503)
Sn (0.493, 0.750, 0.062)
Sn (0.507, 0.250, 0.938)
Sn (0.750, 0.008, 0.497)
Sn (0.750, 0.492, 0.497)
Sn (0.993, 0.250, 0.938)

Computed properties:
raw total energy: -4.874 eV/atom
V: 836 Å³ per cell

[5]
Below is crystalline LaPmNd6 at its relaxed geometry, with properties calculated at the GGA-PBE level.

abc: 5.211 5.211 10.431
angles: 90.00 90.00 90.00
Positions (direct):
La (0.000, 0.000, 0.000)
Pm (0.000, 0.000, 0.500)
Nd (0.000, 0.500, 0.252)
Nd (0.000, 0.500, 0.748)
Nd (0.500, 0.000, 0.252)
Nd (0.500, 0.000, 0.748)
Nd (0.500, 0.500, 0.000)
Nd (0.500, 0.500, 0.500)

Computed properties:
raw total energy: -4.772 eV/atom
V: 283 Å³ per cell

[6]
Below is crystalline K2Rb3Tl4 at its relaxed geometry, with properties calculated at the GGA-PBE level.

abc: 6.240 7.722 9.438
angles: 75.19 89.96 66.24
Positions (direct):
K (0.249, 0.003, 0.328)
K (0.751, 0.997, 0.672)
Rb (0.000, 0.500, 0.000)
Rb (0.479, 0.541, 0.721)
Rb (0.521, 0.459, 0.279)
Tl (0.098, 0.300, 0.610)
Tl (0.264, 0.972, 0.921)
Tl (0.736, 0.028, 0.079)
Tl (0.902, 0.700, 0.390)

Computed properties:
raw total energy: -1.667 eV/atom
V: 400 Å³ per cell

[7]
Below is crystalline K3Cd2Pb9 at its relaxed geometry, with properties calculated at the GGA-PBE level.

abc: 9.970 9.970 9.970
angles: 150.08 103.18 84.57
Positions (direct):
K (0.000, 0.000, 0.000)
K (0.284, 0.284, 0.000)
K (0.716, 0.716, 0.000)
Cd (0.345, 0.500, 0.845)
Cd (0.655, 0.500, 0.155)
Pb (0.016, 0.374, 0.642)
Pb (0.137, 0.844, 0.293)
Pb (0.268, 0.626, 0.642)
Pb (0.448, 0.156, 0.293)
Pb (0.500, 0.000, 0.500)
Pb (0.552, 0.844, 0.707)
Pb (0.732, 0.374, 0.358)
Pb (0.863, 0.156, 0.707)
Pb (0.984, 0.626, 0.358)

Computed properties:
raw total energy: -2.847 eV/atom
V: 470 Å³ per cell

[8]
Below is crystalline Tc3AgPb at its relaxed geometry, with properties calculated at the GGA-PBE level.

abc: 4.891 4.891 4.891
angles: 90.00 90.00 90.00
Positions (direct):
Tc (0.000, 0.000, 0.500)
Tc (0.000, 0.500, 0.000)
Tc (0.500, 0.000, 0.000)
Ag (0.000, 0.000, 0.000)
Pb (0.500, 0.500, 0.500)

Computed properties:
raw total energy: -5.353 eV/atom
excess energy over the best structure of this formula in the dataset: 0.0 meV per atom
V: 117 Å³ per cell